A plane-wave DFT calculation with PBE-GGA was carried out for crystalline K2CaSi2S6 at its relaxed geometry.

Summary:
magnetic moment = 0.0 μB/f.u.
crystal system = trigonal
uncorrected formation energy = -1.0298 eV per atom

a b c (Å): 8.708 8.708 8.708
angles (deg): 47.82 47.82 47.82
Sites, in units of the cell vectors:
K: 0.215 0.215 0.215
K: 0.785 0.785 0.785
Ca: 0.000 0.000 0.000
Si: 0.414 0.414 0.414
Si: 0.586 0.586 0.586
S: 0.248 0.748 0.748
S: 0.252 0.252 0.752
S: 0.252 0.752 0.252
S: 0.748 0.248 0.748
S: 0.748 0.748 0.248
S: 0.752 0.252 0.252